! PuCd6Hg (GGA-PBE, optimized geometry); values from VASP
! **Energy relative to the elements**: 0.031 eV/atom
&SYSTEM
  ibrav = 0, nat = 8, ntyp = 3
/
ATOMIC_SPECIES
Pu 244.00 Pu.upf
Cd 112.41 Cd.upf
Hg 200.59 Hg.upf
ATOMIC_POSITIONS crystal
Pu 0.0000 0.0000 0.5000
Cd 0.5000 0.0000 0.7472
Cd 0.0000 0.5000 0.7472
Cd 0.5000 0.5000 0.2530
Cd 0.5000 0.5000 0.7470
Cd 0.0000 0.5000 0.2528
Cd 0.5000 0.0000 0.2528
Hg 0.0000 0.0000 0.0000
CELL_PARAMETERS angstrom
5.7905 -1.5505 0.0000
-1.5505 5.7905 0.0000
0.0000 -0.0001 6.4819